# MnV2NiH | Alexandria via LeMat-Bulk | PBE | relaxed
# Offset from the most stable computed form in meV per atom: 2
# DOS at the Fermi energy in states/eV/cell: 5.3
# Calculated total energy in eV per atom: -7.391
data_MnV2NiH
_chemical_formula_sum 'Mn1 V2 Ni1 H1'
_space_group_name_H-M_alt 'P 1'
_space_group_IT_number 1
_space_group_name_Hall 'P 1'
_cell_length_a 3.859
_cell_length_b 3.859
_cell_length_c 3.368
_cell_angle_alpha 90.00
_cell_angle_beta 90.00
_cell_angle_gamma 90.00
loop_
_atom_site_label
_atom_site_type_symbol
_atom_site_fract_x
_atom_site_fract_y
_atom_site_fract_z
Mn1 Mn 0.000 0.000 0.000
V1 V 0.000 0.500 0.500
V2 V 0.500 0.000 0.500
Ni1 Ni 0.500 0.500 0.000
H1 H 0.500 0.500 0.500

---

# MnVNi2H | Alexandria via LeMat-Bulk | PBE | relaxed
# DOS at the Fermi energy in states/eV/cell: 2.8
# Calculated total energy in eV per atom: -6.770
data_MnVNi2H
_chemical_formula_sum 'Mn1 V1 Ni2 H1'
_space_group_name_H-M_alt 'P 1'
_space_group_IT_number 1
_space_group_name_Hall 'P 1'
_cell_length_a 3.547
_cell_length_b 3.547
_cell_length_c 3.867
_cell_angle_alpha 90.00
_cell_angle_beta 90.00
_cell_angle_gamma 90.00
loop_
_atom_site_label
_atom_site_type_symbol
_atom_site_fract_x
_atom_site_fract_y
_atom_site_fract_z
Mn1 Mn 0.000 0.000 0.000
V1 V 0.500 0.500 0.000
Ni1 Ni 0.000 0.500 0.500
Ni2 Ni 0.500 0.000 0.500
H1 H 0.000 0.000 0.500

---

# MnV2NiH | Alexandria via LeMat-Bulk | PBE | relaxed
# Offset from the most stable computed form in meV per atom: 0
# DOS at the Fermi energy in states/eV/cell: 6.4
# Calculated total energy in eV per atom: -7.393
data_MnV2NiH
_chemical_formula_sum 'Mn1 V2 Ni1 H1'
_space_group_name_H-M_alt 'P 1'
_space_group_IT_number 1
_space_group_name_Hall 'P 1'
_cell_length_a 3.776
_cell_length_b 3.776
_cell_length_c 3.541
_cell_angle_alpha 90.00
_cell_angle_beta 90.00
_cell_angle_gamma 90.00
loop_
_atom_site_label
_atom_site_type_symbol
_atom_site_fract_x
_atom_site_fract_y
_atom_site_fract_z
Mn1 Mn 0.000 0.000 0.000
V1 V 0.000 0.500 0.500
V2 V 0.500 0.000 0.500
Ni1 Ni 0.500 0.500 0.000
H1 H 0.000 0.000 0.500

---

# Mn2NiHW | Alexandria via LeMat-Bulk | PBE | relaxed
# Offset from the most stable computed form in meV per atom: 76
# DOS at the Fermi energy in states/eV/cell: 3.4
# Calculated total energy in eV per atom: -8.010
data_Mn2NiHW
_chemical_formula_sum 'Mn2 Ni1 H1 W1'
_space_group_name_H-M_alt 'P 1'
_space_group_IT_number 1
_space_group_name_Hall 'P 1'
_cell_length_a 3.661
_cell_length_b 3.661
_cell_length_c 3.819
_cell_angle_alpha 90.00
_cell_angle_beta 90.00
_cell_angle_gamma 90.00
loop_
_atom_site_label
_atom_site_type_symbol
_atom_site_fract_x
_atom_site_fract_y
_atom_site_fract_z
Mn1 Mn 0.000 0.500 0.000
Mn2 Mn 0.500 0.000 0.000
Ni1 Ni 0.000 0.000 0.500
H1 H 0.500 0.500 0.000
W1 W 0.500 0.500 0.500

---

# Mn2NiHW | Alexandria via LeMat-Bulk | PBE | relaxed
# Offset from the most stable computed form in meV per atom: 0
# DOS at the Fermi energy in states/eV/cell: 3.3
# Calculated total energy in eV per atom: -8.087
data_Mn2NiHW
_chemical_formula_sum 'Mn2 Ni1 H1 W1'
_space_group_name_H-M_alt 'P 1'
_space_group_IT_number 1
_space_group_name_Hall 'P 1'
_cell_length_a 3.767
_cell_length_b 3.767
_cell_length_c 3.555
_cell_angle_alpha 90.00
_cell_angle_beta 90.00
_cell_angle_gamma 90.00
loop_
_atom_site_label
_atom_site_type_symbol
_atom_site_fract_x
_atom_site_fract_y
_atom_site_fract_z
Mn1 Mn 0.000 0.500 0.000
Mn2 Mn 0.500 0.000 0.000
Ni1 Ni 0.000 0.000 0.500
H1 H 0.000 0.000 0.000
W1 W 0.500 0.500 0.500

---

# YMnNi2H8 | Alexandria via LeMat-Bulk | PBE | relaxed
# DOS at the Fermi energy in states/eV/cell: 2.8
# Calculated total energy in eV per atom: -4.645
data_YMnNi2H8
_chemical_formula_sum 'Y1 Mn1 Ni2 H8'
_space_group_name_H-M_alt 'P 1'
_space_group_IT_number 1
_space_group_name_Hall 'P 1'
_cell_length_a 5.810
_cell_length_b 5.810
_cell_length_c 5.810
_cell_angle_alpha 45.10
_cell_angle_beta 45.10
_cell_angle_gamma 45.10
loop_
_atom_site_label
_atom_site_type_symbol
_atom_site_fract_x
_atom_site_fract_y
_atom_site_fract_z
Y1 Y 0.000 0.000 0.000
Mn1 Mn 0.500 0.500 0.500
Ni1 Ni 0.212 0.212 0.212
Ni2 Ni 0.788 0.788 0.788
H1 H 0.140 0.795 0.405
H2 H 0.205 0.595 0.860
H3 H 0.313 0.313 0.313
H4 H 0.405 0.140 0.795
H5 H 0.595 0.860 0.205
H6 H 0.687 0.687 0.687
H7 H 0.795 0.405 0.140
H8 H 0.860 0.205 0.595